## CeLuOsPt (GGA-PBE)

Data for an optimized crystal structure of CeLuOsPt.

## Properties
**Formation energy**: -627 meV per atom
**Crystal system**: cubic

Cell: 4.8835 4.8835 4.8835 Å, 60.00 60.00 60.00°
With the nearest neighbours (Å) after each atom.
Fractional coordinates of all 4 atoms:
Os  0.2500  0.2500  0.2500  4 Ce 2.99, 4 Lu 2.99
Pt  0.7500  0.7500  0.7500  4 Ce 2.99, 4 Lu 2.99
Ce  0.5000  0.5000  0.5000  4 Pt 2.99, 4 Os 2.99
Lu  0.0000  0.0000  0.0000  4 Os 2.99, 4 Pt 2.99